# 1
Here is a relaxed InGaPt2 crystal from Alexandria via LeMat-Bulk. Energies are from PBE.

```
data_InGaPt2
_cell_length_a 4.1417
_cell_length_b 4.1417
_cell_length_c 14.8139
_cell_angle_alpha 90.00
_cell_angle_beta 90.00
_cell_angle_gamma 120.00
_symmetry_space_group_name_H-M 'R 3 m'
_symmetry_Int_Tables_number 160
_symmetry_space_group_name_Hall 'R 3 -2"'
loop_
_atom_site_label
_atom_site_type_symbol
_atom_site_fract_x
_atom_site_fract_y
_atom_site_fract_z
_atom_site_occupancy
In1 In 0.0000 0.0000 0.0000 1
Ga1 Ga 0.0000 0.0000 0.8153 1
Pt1 Pt 0.0000 0.0000 0.2239 1
Pt2 Pt 0.0000 0.0000 0.4284 1
```

# 2
Here is a relaxed InGaPt3 crystal from Alexandria via LeMat-Bulk. Energies are from PBE.

```
data_InGaPt3
_cell_length_a 4.657
_cell_length_b 4.657
_cell_length_c 4.657
_cell_angle_alpha 90.00
_cell_angle_beta 90.00
_cell_angle_gamma 90.00
_symmetry_space_group_name_H-M 'P m -3 m'
_symmetry_Int_Tables_number 221
_symmetry_space_group_name_Hall '-P 4 2 3'
loop_
_atom_site_label
_atom_site_type_symbol
_atom_site_fract_x
_atom_site_fract_y
_atom_site_fract_z
_atom_site_occupancy
In1 In 0.000 0.000 0.000 1
Ga1 Ga 0.500 0.500 0.500 1
Pt1 Pt 0.000 0.500 0.500 1
```

# 3
Here is a relaxed InGa2Pt2 crystal from Alexandria via LeMat-Bulk. Energies are from PBE.

```
data_InGa2Pt2
_cell_length_a 4.159
_cell_length_b 4.159
_cell_length_c 11.002
_cell_angle_alpha 90.00
_cell_angle_beta 90.00
_cell_angle_gamma 90.00
_symmetry_space_group_name_H-M 'I 4/m m m'
_symmetry_Int_Tables_number 139
_symmetry_space_group_name_Hall '-I 4 2'
loop_
_atom_site_label
_atom_site_type_symbol
_atom_site_fract_x
_atom_site_fract_y
_atom_site_fract_z
_atom_site_occupancy
In1 In 0.000 0.000 0.000 1
Ga1 Ga 0.000 0.000 0.384 1
Pt1 Pt 0.000 0.500 0.250 1
```

# 4
Here is a relaxed InGaPt2 crystal from Alexandria via LeMat-Bulk. Energies are from PBE.

```
data_InGaPt2
_cell_length_a 4.829
_cell_length_b 4.829
_cell_length_c 2.915
_cell_angle_alpha 90.00
_cell_angle_beta 90.00
_cell_angle_gamma 90.00
_symmetry_space_group_name_H-M 'P 4/m m m'
_symmetry_Int_Tables_number 123
_symmetry_space_group_name_Hall '-P 4 2'
loop_
_atom_site_label
_atom_site_type_symbol
_atom_site_fract_x
_atom_site_fract_y
_atom_site_fract_z
_atom_site_occupancy
In1 In 0.000 0.000 0.000 1
Ga1 Ga 0.500 0.500 0.000 1
Pt1 Pt 0.000 0.500 0.500 1
```

# 5
Here is a relaxed InGa2Pt2 crystal from Alexandria via LeMat-Bulk. Energies are from PBE.

```
data_InGa2Pt2
_cell_length_a 7.761
_cell_length_b 7.761
_cell_length_c 2.886
_cell_angle_alpha 90.00
_cell_angle_beta 90.00
_cell_angle_gamma 90.00
_symmetry_space_group_name_H-M 'P 4/m b m'
_symmetry_Int_Tables_number 127
_symmetry_space_group_name_Hall '-P 4 2ab'
loop_
_atom_site_label
_atom_site_type_symbol
_atom_site_fract_x
_atom_site_fract_y
_atom_site_fract_z
_atom_site_occupancy
In1 In 0.000 0.000 0.000 1
Ga1 Ga 0.151 0.349 0.500 1
Pt1 Pt 0.144 0.644 0.000 1
```

# 6
Here is a relaxed InGaPt crystal from Alexandria via LeMat-Bulk. Energies are from PBE.

```
data_InGaPt
_cell_length_a 4.3042
_cell_length_b 4.3042
_cell_length_c 3.7184
_cell_angle_alpha 90.00
_cell_angle_beta 90.00
_cell_angle_gamma 120.00
_symmetry_space_group_name_H-M 'P 3 m 1'
_symmetry_Int_Tables_number 156
loop_
_symmetry_equiv_pos_as_xyz
'x,y,z'
'-y,x-y,z'
'-x+y,-x,z'
'-y,-x,z'
'-x+y,y,z'
'x,x-y,z'
loop_
_atom_site_label
_atom_site_type_symbol
_atom_site_fract_x
_atom_site_fract_y
_atom_site_fract_z
_atom_site_occupancy
In1 In 0.0000 0.0000 0.0000 1
Ga1 Ga 0.6667 0.3333 0.4982 1
Pt1 Pt 0.3333 0.6667 0.5078 1
```

# 7
Here is a relaxed InGa2Pt crystal from Alexandria via LeMat-Bulk. Energies are from PBE.

```
data_InGa2Pt
_cell_length_a 7.975
_cell_length_b 7.975
_cell_length_c 5.359
_cell_angle_alpha 90.00
_cell_angle_beta 90.00
_cell_angle_gamma 90.00
_symmetry_space_group_name_H-M 'I -4 2 d'
_symmetry_Int_Tables_number 122
_symmetry_space_group_name_Hall 'I -4 2bw'
loop_
_atom_site_label
_atom_site_type_symbol
_atom_site_fract_x
_atom_site_fract_y
_atom_site_fract_z
_atom_site_occupancy
In1 In 0.000 0.000 0.000 1
Ga1 Ga 0.186 0.250 0.625 1
Pt1 Pt 0.000 0.000 0.500 1
```

# 8
Here is a relaxed InGa2Pt8 crystal from Alexandria via LeMat-Bulk. Energies are from PBE.

```
data_InGa2Pt8
_cell_length_a 14.415
_cell_length_b 4.002
_cell_length_c 6.445
_cell_angle_alpha 90.00
_cell_angle_beta 108.72
_cell_angle_gamma 90.00
_symmetry_space_group_name_H-M 'C 1 2/m 1'
_symmetry_Int_Tables_number 12
loop_
_symmetry_equiv_pos_as_xyz
'x,y,z'
'-x,-y,-z'
'-x,y,-z'
'x,-y,z'
'x+1/2,y+1/2,z'
'-x+1/2,-y+1/2,-z'
'-x+1/2,y+1/2,-z'
'x+1/2,-y+1/2,z'
loop_
_atom_site_label
_atom_site_type_symbol
_atom_site_fract_x
_atom_site_fract_y
_atom_site_fract_z
_atom_site_occupancy
In1 In 0.000 0.000 0.000 1
Ga1 Ga 0.215 0.500 0.663 1
Pt1 Pt 0.043 0.500 0.728 1
Pt2 Pt 0.096 0.000 0.472 1
Pt3 Pt 0.158 0.500 0.240 1
Pt4 Pt 0.178 0.000 0.934 1
```

Values for calculated total energy, eV per atom, ordered as above
-4.94 -4.51 -4.50 -4.84 -4.60 -4.21 -3.91 -5.58